--- A ---
# NaPrFeSe3 (PBE, relaxed)
data_NaPrFeSe3
_cell_length_a 13.837
_cell_length_b 4.104
_cell_length_c 11.464
_cell_angle_alpha 90.00
_cell_angle_beta 90.00
_cell_angle_gamma 90.00
_space_group_name_H-M_alt 'P n m a'
_space_group_IT_number 62
loop_
_space_group_symop_operation_xyz
'x,y,z'
'-x,-y,-z'
'-x+1/2,-y,z+1/2'
'x+1/2,y,-z+1/2'
'x+1/2,-y+1/2,-z+1/2'
'-x+1/2,y+1/2,z+1/2'
'-x,y+1/2,-z'
'x,-y+1/2,z'
loop_
_atom_site_label
_atom_site_type_symbol
_atom_site_fract_x
_atom_site_fract_y
_atom_site_fract_z
Na1 Na 0.227 0.250 0.053
Pr1 Pr 0.013 0.250 0.339
Fe1 Fe 0.007 0.750 0.078
Se1 Se 0.099 0.750 0.893
Se2 Se 0.117 0.250 0.563
Se3 Se 0.134 0.750 0.223
# * M_tot: 16.0 Bohr magnetons per cell
# * theoretical density: 4.7 Mg/m³



--- B ---
# NaPrFeSe3 (PBE, relaxed)
data_NaPrFeSe3
_cell_length_a 11.274
_cell_length_b 4.165
_cell_length_c 13.338
_cell_angle_alpha 90.00
_cell_angle_beta 90.00
_cell_angle_gamma 90.00
_space_group_name_H-M_alt 'P n m a'
_space_group_IT_number 62
loop_
_space_group_symop_operation_xyz
'x,y,z'
'-x,-y,-z'
'-x+1/2,-y,z+1/2'
'x+1/2,y,-z+1/2'
'x+1/2,-y+1/2,-z+1/2'
'-x+1/2,y+1/2,z+1/2'
'-x,y+1/2,-z'
'x,-y+1/2,z'
loop_
_atom_site_label
_atom_site_type_symbol
_atom_site_fract_x
_atom_site_fract_y
_atom_site_fract_z
Na1 Na 0.215 0.250 0.002
Pr1 Pr 0.014 0.750 0.737
Fe1 Fe 0.235 0.750 0.221
Se1 Se 0.058 0.750 0.116
Se2 Se 0.105 0.250 0.600
Se3 Se 0.241 0.250 0.327
# * M_tot: 16.0 Bohr magnetons per cell
# * theoretical density: 4.8 Mg/m³



--- C ---
# NaPrFeSe3 (PBE, relaxed)
data_NaPrFeSe3
_cell_length_a 18.695
_cell_length_b 4.209
_cell_length_c 8.055
_cell_angle_alpha 90.00
_cell_angle_beta 105.43
_cell_angle_gamma 90.00
_space_group_name_H-M_alt 'C 1 2/m 1'
_space_group_IT_number 12
loop_
_space_group_symop_operation_xyz
'x,y,z'
'-x,-y,-z'
'-x,y,-z'
'x,-y,z'
'x+1/2,y+1/2,z'
'-x+1/2,-y+1/2,-z'
'-x+1/2,y+1/2,-z'
'x+1/2,-y+1/2,z'
loop_
_atom_site_label
_atom_site_type_symbol
_atom_site_fract_x
_atom_site_fract_y
_atom_site_fract_z
Na1 Na 0.122 0.000 0.078
Pr1 Pr 0.172 0.000 0.600
Fe1 Fe 0.026 0.500 0.718
Se1 Se 0.000 0.000 0.500
Se2 Se 0.000 0.500 0.000
Se3 Se 0.161 0.500 0.844
Se4 Se 0.168 0.500 0.343
# * M_tot: 16.0 Bohr magnetons per cell
# * theoretical density: 5.0 Mg/m³



--- D ---
# NaPrFeSe3 (PBE, relaxed)
data_NaPrFeSe3
_cell_length_a 8.328
_cell_length_b 4.223
_cell_length_c 16.537
_cell_angle_alpha 90.00
_cell_angle_beta 90.00
_cell_angle_gamma 90.00
_space_group_name_H-M_alt 'P n m a'
_space_group_IT_number 62
loop_
_space_group_symop_operation_xyz
'x,y,z'
'-x,-y,-z'
'-x+1/2,-y,z+1/2'
'x+1/2,y,-z+1/2'
'x+1/2,-y+1/2,-z+1/2'
'-x+1/2,y+1/2,z+1/2'
'-x,y+1/2,-z'
'x,-y+1/2,z'
loop_
_atom_site_label
_atom_site_type_symbol
_atom_site_fract_x
_atom_site_fract_y
_atom_site_fract_z
Na1 Na 0.078 0.250 0.218
Pr1 Pr 0.249 0.250 0.953
Fe1 Fe 0.125 0.250 0.639
Se1 Se 0.004 0.250 0.406
Se2 Se 0.124 0.750 0.064
Se3 Se 0.186 0.250 0.778
# * M_tot: 16.0 Bohr magnetons per cell
# * theoretical density: 5.2 Mg/m³



Name the least stable of them. C.



--- A ---
# NaScFeS3 (PBE, relaxed)
data_NaScFeS3
_cell_length_a 3.753
_cell_length_b 12.907
_cell_length_c 9.882
_cell_angle_alpha 90.00
_cell_angle_beta 90.00
_cell_angle_gamma 90.00
_space_group_name_H-M_alt 'C m c m'
_space_group_IT_number 63
_space_group_name_Hall '-C 2c 2'
loop_
_atom_site_label
_atom_site_type_symbol
_atom_site_fract_x
_atom_site_fract_y
_atom_site_fract_z
Na1 Na 0.000 0.247 0.250
Sc1 Sc 0.000 0.000 0.000
Fe1 Fe 0.000 0.472 0.750
S1 S 0.000 0.077 0.750
S2 S 0.000 0.370 0.564
# * M_tot: 16.0 Bohr magnetons per cell
# * theoretical density: 3.1 Mg/m³



--- B ---
# NaScFeS3 (PBE, relaxed)
data_NaScFeS3
_cell_length_a 13.042
_cell_length_b 3.695
_cell_length_c 10.089
_cell_angle_alpha 90.00
_cell_angle_beta 90.00
_cell_angle_gamma 90.00
_space_group_name_H-M_alt 'P n m a'
_space_group_IT_number 62
loop_
_space_group_symop_operation_xyz
'x,y,z'
'-x,-y,-z'
'-x+1/2,-y,z+1/2'
'x+1/2,y,-z+1/2'
'x+1/2,-y+1/2,-z+1/2'
'-x+1/2,y+1/2,z+1/2'
'-x,y+1/2,-z'
'x,-y+1/2,z'
loop_
_atom_site_label
_atom_site_type_symbol
_atom_site_fract_x
_atom_site_fract_y
_atom_site_fract_z
Na1 Na 0.235 0.250 0.046
Sc1 Sc 0.016 0.250 0.346
Fe1 Fe 0.011 0.750 0.087
S1 S 0.094 0.750 0.883
S2 S 0.104 0.250 0.570
S3 S 0.133 0.750 0.247
# * M_tot: 14.8 Bohr magnetons per cell
# * theoretical density: 3.0 Mg/m³



--- C ---
# NaScFeS3 (PBE, relaxed)
data_NaScFeS3
_cell_length_a 16.137
_cell_length_b 3.710
_cell_length_c 7.865
_cell_angle_alpha 90.00
_cell_angle_beta 103.65
_cell_angle_gamma 90.00
_space_group_name_H-M_alt 'C 1 2/m 1'
_space_group_IT_number 12
loop_
_space_group_symop_operation_xyz
'x,y,z'
'-x,-y,-z'
'-x,y,-z'
'x,-y,z'
'x+1/2,y+1/2,z'
'-x+1/2,-y+1/2,-z'
'-x+1/2,y+1/2,-z'
'x+1/2,-y+1/2,z'
loop_
_atom_site_label
_atom_site_type_symbol
_atom_site_fract_x
_atom_site_fract_y
_atom_site_fract_z
Na1 Na 0.142 0.000 0.070
Sc1 Sc 0.172 0.000 0.586
Fe1 Fe 0.013 0.500 0.719
S1 S 0.000 0.000 0.500
S2 S 0.000 0.500 0.000
S3 S 0.165 0.500 0.358
S4 S 0.166 0.500 0.804
# * M_tot: 16.0 Bohr magnetons per cell
# * theoretical density: 3.2 Mg/m³



Name the least stable of them. C.



--- A ---
# NaTbFeS3 (PBE, relaxed)
data_NaTbFeS3
_cell_length_a 3.921
_cell_length_b 12.820
_cell_length_c 10.496
_cell_angle_alpha 90.00
_cell_angle_beta 90.00
_cell_angle_gamma 90.00
_space_group_name_H-M_alt 'C m c m'
_space_group_IT_number 63
_space_group_name_Hall '-C 2c 2'
loop_
_atom_site_label
_atom_site_type_symbol
_atom_site_fract_x
_atom_site_fract_y
_atom_site_fract_z
Na1 Na 0.000 0.246 0.250
Tb1 Tb 0.000 0.000 0.000
Fe1 Fe 0.000 0.473 0.750
S1 S 0.000 0.076 0.750
S2 S 0.000 0.365 0.578
# * M_tot: 16.0 Bohr magnetons per cell
# * theoretical density: 4.2 Mg/m³



--- B ---
# NaTbFeS3 (PBE, relaxed)
data_NaTbFeS3
_cell_length_a 7.897
_cell_length_b 3.880
_cell_length_c 9.320
_cell_angle_alpha 90.00
_cell_angle_beta 103.42
_cell_angle_gamma 90.00
_space_group_name_H-M_alt 'P 1 21/m 1'
_space_group_IT_number 11
loop_
_space_group_symop_operation_xyz
'x,y,z'
'-x,-y,-z'
'-x,y+1/2,-z'
'x,-y+1/2,z'
loop_
_atom_site_label
_atom_site_type_symbol
_atom_site_fract_x
_atom_site_fract_y
_atom_site_fract_z
Na1 Na 0.220 0.250 0.252
Tb1 Tb 0.323 0.750 0.854
Fe1 Fe 0.072 0.250 0.590
S1 S 0.073 0.250 0.834
S2 S 0.219 0.750 0.539
S3 S 0.436 0.750 0.153
# * M_tot: 7.7 Bohr magnetons per cell
# * theoretical density: 4.0 Mg/m³



Name the least stable of them. A.



--- A ---
# NaTmFeS3 (PBE, relaxed)
data_NaTmFeS3
_cell_length_a 3.864
_cell_length_b 12.866
_cell_length_c 10.284
_cell_angle_alpha 90.00
_cell_angle_beta 90.00
_cell_angle_gamma 90.00
_space_group_name_H-M_alt 'C m c m'
_space_group_IT_number 63
_space_group_name_Hall '-C 2c 2'
loop_
_atom_site_label
_atom_site_type_symbol
_atom_site_fract_x
_atom_site_fract_y
_atom_site_fract_z
Na1 Na 0.000 0.247 0.250
Tm1 Tm 0.000 0.000 0.000
Fe1 Fe 0.000 0.472 0.750
S1 S 0.000 0.076 0.750
S2 S 0.000 0.367 0.572
# * M_tot: 16.0 Bohr magnetons per cell
# * theoretical density: 4.5 Mg/m³



--- B ---
# NaTmFeS3 (PBE, relaxed)
data_NaTmFeS3
_cell_length_a 7.896
_cell_length_b 3.824
_cell_length_c 9.123
_cell_angle_alpha 90.00
_cell_angle_beta 104.01
_cell_angle_gamma 90.00
_space_group_name_H-M_alt 'P 1 21/m 1'
_space_group_IT_number 11
loop_
_space_group_symop_operation_xyz
'x,y,z'
'-x,-y,-z'
'-x,y+1/2,-z'
'x,-y+1/2,z'
loop_
_atom_site_label
_atom_site_type_symbol
_atom_site_fract_x
_atom_site_fract_y
_atom_site_fract_z
Na1 Na 0.208 0.250 0.237
Tm1 Tm 0.329 0.750 0.852
Fe1 Fe 0.075 0.250 0.590
S1 S 0.085 0.250 0.843
S2 S 0.222 0.750 0.536
S3 S 0.435 0.750 0.154
# * M_tot: 7.6 Bohr magnetons per cell
# * theoretical density: 4.3 Mg/m³



Name the least stable of them. A.



--- A ---
# NaZrFeSb (PBE, relaxed)
data_NaZrFeSb
_cell_length_a 6.850
_cell_length_b 6.850
_cell_length_c 6.850
_cell_angle_alpha 90.00
_cell_angle_beta 90.00
_cell_angle_gamma 90.00
_space_group_name_H-M_alt 'F -4 3 m'
_space_group_IT_number 216
_space_group_name_Hall 'F -4 2 3'
loop_
_atom_site_label
_atom_site_type_symbol
_atom_site_fract_x
_atom_site_fract_y
_atom_site_fract_z
Na1 Na 0.000 0.000 0.000
Zr1 Zr 0.000 0.000 0.500
Fe1 Fe 0.250 0.250 0.750
Sb1 Sb 0.250 0.250 0.250
# * M_tot: 6.4 Bohr magnetons per cell
# * theoretical density: 6.0 Mg/m³



--- B ---
# NaZrFeSb (PBE, relaxed)
data_NaZrFeSb
_cell_length_a 6.498
_cell_length_b 6.498
_cell_length_c 6.498
_cell_angle_alpha 90.00
_cell_angle_beta 90.00
_cell_angle_gamma 90.00
_space_group_name_H-M_alt 'F -4 3 m'
_space_group_IT_number 216
_space_group_name_Hall 'F -4 2 3'
loop_
_atom_site_label
_atom_site_type_symbol
_atom_site_fract_x
_atom_site_fract_y
_atom_site_fract_z
Na1 Na 0.000 0.000 0.000
Zr1 Zr 0.250 0.250 0.750
Fe1 Fe 0.000 0.000 0.500
Sb1 Sb 0.250 0.250 0.250
# * M_tot: 0.0 Bohr magnetons per cell
# * theoretical density: 7.1 Mg/m³



Name the least stable of them. A.



--- A ---
# NaScFeSe3 (PBE, relaxed)
data_NaScFeSe3
_cell_length_a 3.871
_cell_length_b 13.547
_cell_length_c 10.239
_cell_angle_alpha 90.00
_cell_angle_beta 90.00
_cell_angle_gamma 90.00
_space_group_name_H-M_alt 'C m c m'
_space_group_IT_number 63
_space_group_name_Hall '-C 2c 2'
loop_
_atom_site_label
_atom_site_type_symbol
_atom_site_fract_x
_atom_site_fract_y
_atom_site_fract_z
Na1 Na 0.000 0.244 0.250
Sc1 Sc 0.000 0.000 0.000
Fe1 Fe 0.000 0.470 0.750
Se1 Se 0.000 0.080 0.750
Se2 Se 0.000 0.366 0.561
# * M_tot: 15.8 Bohr magnetons per cell
# * theoretical density: 4.5 Mg/m³



--- B ---
# NaScFeSe3 (PBE, relaxed)
data_NaScFeSe3
_cell_length_a 8.289
_cell_length_b 3.845
_cell_length_c 9.159
_cell_angle_alpha 90.00
_cell_angle_beta 106.06
_cell_angle_gamma 90.00
_space_group_name_H-M_alt 'P 1 21/m 1'
_space_group_IT_number 11
loop_
_space_group_symop_operation_xyz
'x,y,z'
'-x,-y,-z'
'-x,y+1/2,-z'
'x,-y+1/2,z'
loop_
_atom_site_label
_atom_site_type_symbol
_atom_site_fract_x
_atom_site_fract_y
_atom_site_fract_z
Na1 Na 0.200 0.250 0.227
Sc1 Sc 0.334 0.750 0.854
Fe1 Fe 0.072 0.250 0.589
Se1 Se 0.101 0.250 0.858
Se2 Se 0.233 0.750 0.532
Se3 Se 0.444 0.750 0.159
# * M_tot: 7.3 Bohr magnetons per cell
# * theoretical density: 4.3 Mg/m³



Name the least stable of them. A.



--- A ---
# NaSmFeTe3 (PBE, relaxed)
data_NaSmFeTe3
_cell_length_a 9.022
_cell_length_b 4.255
_cell_length_c 10.182
_cell_angle_alpha 90.00
_cell_angle_beta 104.21
_cell_angle_gamma 90.00
_space_group_name_H-M_alt 'P 1 21/m 1'
_space_group_IT_number 11
loop_
_space_group_symop_operation_xyz
'x,y,z'
'-x,-y,-z'
'-x,y+1/2,-z'
'x,-y+1/2,z'
loop_
_atom_site_label
_atom_site_type_symbol
_atom_site_fract_x
_atom_site_fract_y
_atom_site_fract_z
Na1 Na 0.209 0.250 0.252
Sm1 Sm 0.323 0.750 0.851
Fe1 Fe 0.065 0.250 0.576
Te1 Te 0.069 0.250 0.838
Te2 Te 0.232 0.750 0.528
Te3 Te 0.431 0.750 0.167
# * M_tot: 7.5 Bohr magnetons per cell
# * theoretical density: 5.4 Mg/m³



--- B ---
# NaSmFeTe3 (PBE, relaxed)
data_NaSmFeTe3
_cell_length_a 4.322
_cell_length_b 14.599
_cell_length_c 11.597
_cell_angle_alpha 90.00
_cell_angle_beta 90.00
_cell_angle_gamma 90.00
_space_group_name_H-M_alt 'C m c m'
_space_group_IT_number 63
_space_group_name_Hall '-C 2c 2'
loop_
_atom_site_label
_atom_site_type_symbol
_atom_site_fract_x
_atom_site_fract_y
_atom_site_fract_z
Na1 Na 0.000 0.240 0.250
Sm1 Sm 0.000 0.000 0.000
Fe1 Fe 0.000 0.471 0.750
Te1 Te 0.000 0.083 0.750
Te2 Te 0.000 0.359 0.574
# * M_tot: 15.9 Bohr magnetons per cell
# * theoretical density: 5.6 Mg/m³



Name the least stable of them. B.



--- A ---
# NaSrFeTc (PBE, relaxed)
data_NaSrFeTc
_cell_length_a 7.200
_cell_length_b 7.200
_cell_length_c 7.200
_cell_angle_alpha 90.00
_cell_angle_beta 90.00
_cell_angle_gamma 90.00
_space_group_name_H-M_alt 'F -4 3 m'
_space_group_IT_number 216
_space_group_name_Hall 'F -4 2 3'
loop_
_atom_site_label
_atom_site_type_symbol
_atom_site_fract_x
_atom_site_fract_y
_atom_site_fract_z
Na1 Na 0.000 0.000 0.000
Sr1 Sr 0.000 0.000 0.500
Fe1 Fe 0.250 0.250 0.750
Tc1 Tc 0.250 0.250 0.250
# * M_tot: 22.9 Bohr magnetons per cell
# * theoretical density: 4.7 Mg/m³



--- B ---
# NaSrFeTc (PBE, relaxed)
data_NaSrFeTc
_cell_length_a 6.881
_cell_length_b 6.881
_cell_length_c 6.881
_cell_angle_alpha 90.00
_cell_angle_beta 90.00
_cell_angle_gamma 90.00
_space_group_name_H-M_alt 'F -4 3 m'
_space_group_IT_number 216
_space_group_name_Hall 'F -4 2 3'
loop_
_atom_site_label
_atom_site_type_symbol
_atom_site_fract_x
_atom_site_fract_y
_atom_site_fract_z
Na1 Na 0.000 0.000 0.000
Sr1 Sr 0.250 0.250 0.750
Fe1 Fe 0.000 0.000 0.500
Tc1 Tc 0.250 0.250 0.250
# * M_tot: 17.3 Bohr magnetons per cell
# * theoretical density: 5.4 Mg/m³



Name the least stable of them. A.